# 1
Entry from Alexandria via LeMat-Bulk: an optimized crystal structure of LiYSc2 (PBE-GGA).

Cell lengths 3.3392, 3.3392, 32.0067 Å; angles 90.00, 90.00, 120.00 degrees
Closest atoms and distances in Å follow each position.
Space group R-3m (No. 166, hexagonal axes)
Inequivalent atoms, fractional coordinates:
Li  0.0000  0.0000  0.0000 (multiplicity 3)  6 Sc 3.21, 6 Li 3.34
Y  0.0000  0.0000  0.5000 (multiplicity 3)  6 Y 3.34, 6 Sc 3.37
Sc  0.0000  0.0000  0.2532 (multiplicity 6)  3 Li 3.21, 6 Sc 3.34, 3 Y 3.37

Computed properties:
Energy of formation from the pure elements = 160 meV per atom
Total DFT energy (no corrections) = -5.10 eV/atom

=====

# 2
Entry from Alexandria via LeMat-Bulk: an optimized crystal structure of LiYSc (PBE-GGA).

Cell lengths 3.7557, 3.7557, 11.0234 Å; angles 90.00, 90.00, 90.00 degrees
Closest atoms and distances in Å follow each position.
Space group P4/nmm (No. 129, origin choice 2)
Inequivalent atoms, fractional coordinates:
Li  0.2500  0.2500  0.0635 (multiplicity 2)  4 Li 3.00, 4 Y 3.34
Y  0.2500  0.2500  0.7532 (multiplicity 2)  5 Sc 3.32-3.58, 5 Li 3.34-3.42
Sc  0.2500  0.2500  0.4281 (multiplicity 2)  4 Sc 3.09, 4 Y 3.32

Computed properties:
Energy of formation from the pure elements = 57 meV per atom
Total DFT energy (no corrections) = -4.85 eV/atom

=====

# 3
Entry from Alexandria via LeMat-Bulk: an optimized crystal structure of LiYSc (PBE-GGA).

Cell lengths 5.8884, 3.4012, 15.7814 Å; angles 90.00, 90.01, 90.00 degrees
Closest atoms and distances in Å follow each position.
Space group C2/m (No. 12)
Inequivalent atoms, fractional coordinates:
Li  0.1672  0.0000  0.0726 (multiplicity 4)  3 Li 3.02, 3 Sc 3.18
Y  0.1672  0.0000  0.4035 (multiplicity 4)  3 Sc 3.35, 9 Y 3.40-3.63
Sc  0.0005  0.5000  0.2314 (multiplicity 4)  3 Li 3.18, 3 Y 3.35, 6 Sc 3.40

Computed properties:
Energy of formation from the pure elements = 109 meV per atom
Total DFT energy (no corrections) = -4.79 eV/atom

=====

# 4
Entry from Alexandria via LeMat-Bulk: an optimized crystal structure of Li3YSc (PBE-GGA).

Cell lengths 5.0075, 5.0075, 5.0075 Å; angles 90.00, 90.00, 90.00 degrees
Closest atoms and distances in Å follow each position.
Space group Pm-3m (No. 221)
Inequivalent atoms, fractional coordinates:
Li  0.0000  0.0000  0.5000 (multiplicity 3)  2 Sc 2.50
Y  0.5000  0.5000  0.5000 (multiplicity 1)  12 Li 3.54
Sc  0.0000  0.0000  0.0000 (multiplicity 1)  6 Li 2.50

Computed properties:
Energy of formation from the pure elements = 734 meV per atom
Total DFT energy (no corrections) = -2.97 eV/atom

=====

# 5
Entry from Alexandria via LeMat-Bulk: an optimized crystal structure of LiYSc4 (PBE-GGA).

Cell lengths 8.6684, 8.6684, 8.6684 Å; angles 90.00, 90.00, 90.00 degrees
Closest atoms and distances in Å follow each position.
Space group F-43m (No. 216)
Inequivalent atoms, fractional coordinates:
Li  0.0000  0.0000  0.0000 (multiplicity 4)  12 Sc 3.60, 4 Y 3.75
Y  0.2500  0.2500  0.2500 (multiplicity 4)  12 Sc 3.59, 4 Li 3.75
Sc  0.1236  0.1236  0.6236 (multiplicity 16)  6 Sc 3.03-3.10

Computed properties:
Energy of formation from the pure elements = 308 meV per atom
Total DFT energy (no corrections) = -5.31 eV/atom

=====

# 6
Entry from Alexandria via LeMat-Bulk: an optimized crystal structure of LiYSc2 (PBE-GGA).

Cell lengths 7.9961, 7.9961, 6.1878 Å; angles 90.00, 90.00, 90.00 degrees
Closest atoms and distances in Å follow each position.
Space group I-42d (No. 122)
Inequivalent atoms, fractional coordinates:
Li  0.0000  0.0000  0.0000 (multiplicity 4)  4 Sc 2.70
Y  0.0000  0.0000  0.5000 (multiplicity 4)  2 Li 3.09, 4 Sc 3.19
Sc  0.2050  0.7500  0.1250 (multiplicity 8)  2 Li 2.70

Computed properties:
Energy of formation from the pure elements = 314 meV per atom
Total DFT energy (no corrections) = -4.95 eV/atom

=====

# 7
Entry from Alexandria via LeMat-Bulk: an optimized crystal structure of Li2YSc2 (PBE-GGA).

Cell lengths 8.4332, 8.4332, 3.3655 Å; angles 90.00, 90.00, 90.00 degrees
Closest atoms and distances in Å follow each position.
Space group P4/mbm (No. 127)
Inequivalent atoms, fractional coordinates:
Li  0.1262  0.3738  0.0000 (multiplicity 4)  6 Sc 2.96-3.03, 1 Li 3.01
Y  0.0000  0.0000  0.0000 (multiplicity 2)  4 Li 3.33, 2 Y 3.37, 8 Sc 3.55
Sc  0.1699  0.6699  0.5000 (multiplicity 4)  6 Li 2.96-3.03

Computed properties:
Energy of formation from the pure elements = 227 meV per atom
Total DFT energy (no corrections) = -4.36 eV/atom

=====

# 8
Entry from Alexandria via LeMat-Bulk: an optimized crystal structure of LiY3Sc (PBE-GGA).

Cell lengths 5.5782, 5.5782, 5.5782 Å; angles 90.00, 90.00, 90.00 degrees
Closest atoms and distances in Å follow each position.
Space group Pm-3m (No. 221)
Inequivalent atoms, fractional coordinates:
Li  0.0000  0.0000  0.0000 (multiplicity 1)  12 Y 3.94
Y  0.0000  0.5000  0.5000 (multiplicity 3)  2 Sc 2.79
Sc  0.5000  0.5000  0.5000 (multiplicity 1)  6 Y 2.79

Computed properties:
Energy of formation from the pure elements = 653 meV per atom
Total DFT energy (no corrections) = -4.87 eV/atom

=====

# 9
Entry from Alexandria via LeMat-Bulk: an optimized crystal structure of LiYSc2 (PBE-GGA).

Cell lengths 3.3319, 4.9278, 6.3784 Å; angles 90.00, 104.17, 90.00 degrees
Closest atoms and distances in Å follow each position.
Space group Pm (No. 6)
Inequivalent atoms, fractional coordinates:
Li  0.0000  0.0000  0.0000 (multiplicity 1)  4 Sc 2.94-3.27, 2 Y 3.21
Y  0.4491  0.5000  0.7662 (multiplicity 1)  7 Sc 3.18-3.54, 4 Li 3.21-3.41, 2 Y 3.33
Sc  0.2341  0.5000  0.2529 (multiplicity 1)  2 Li 2.94, 1 Y 3.18, 4 Sc 3.24-3.29
Sc  0.8216  0.0000  0.4721 (multiplicity 1)  3 Li 3.21-3.54, 6 Sc 3.24-3.33, 4 Y 3.47-3.50

Computed properties:
Energy of formation from the pure elements = 167 meV per atom
Total DFT energy (no corrections) = -5.09 eV/atom

=====

# 10
Entry from Alexandria via LeMat-Bulk: an optimized crystal structure of Li4YSc (PBE-GGA).

Cell lengths 8.0887, 8.0887, 8.0887 Å; angles 90.00, 90.00, 90.00 degrees
Closest atoms and distances in Å follow each position.
Space group F-43m (No. 216)
Inequivalent atoms, fractional coordinates:
Li  0.1241  0.1241  0.1241 (multiplicity 16)  6 Li 2.84-2.88
Y  0.0000  0.0000  0.5000 (multiplicity 4)  12 Li 3.36, 4 Sc 3.50
Sc  0.2500  0.2500  0.7500 (multiplicity 4)  12 Li 3.35, 4 Y 3.50

Computed properties:
Energy of formation from the pure elements = 140 meV per atom
Total DFT energy (no corrections) = -3.27 eV/atom

=====

# 11
Entry from Alexandria via LeMat-Bulk: an optimized crystal structure of LiYScZn2 (PBE-GGA).

Cell lengths 5.4518, 5.4518, 5.3717 Å; angles 90.00, 90.00, 90.00 degrees
Closest atoms and distances in Å follow each position.
Space group P4/mmm (No. 123)
Inequivalent atoms, fractional coordinates:
Li  0.0000  0.0000  0.0000 (multiplicity 1)  8 Zn 3.83, 4 Sc 3.85
Y  0.5000  0.5000  0.5000 (multiplicity 1)  2 Sc 2.69, 4 Zn 2.73
Sc  0.5000  0.5000  0.0000 (multiplicity 1)  2 Y 2.69
Zn  0.0000  0.5000  0.5000 (multiplicity 2)  2 Y 2.73

Computed properties:
Energy of formation from the pure elements = 850 meV per atom
Total DFT energy (no corrections) = -2.60 eV/atom

=====

# 12
Entry from Alexandria via LeMat-Bulk: an optimized crystal structure of Li2Sc2Zn (PBE-GGA).

Cell lengths 6.4264, 6.4264, 4.6558 Å; angles 90.00, 90.00, 90.00 degrees
Closest atoms and distances in Å follow each position.
Space group P4/mbm (No. 127)
Inequivalent atoms, fractional coordinates:
Li  0.1308  0.3692  0.0000 (multiplicity 4)  1 Li 2.38, 2 Zn 2.52
Sc  0.1834  0.6834  0.5000 (multiplicity 4)  6 Li 2.88-3.10
Zn  0.0000  0.0000  0.0000 (multiplicity 2)  4 Li 2.52

Computed properties:
Energy of formation from the pure elements = 86 meV per atom
Total DFT energy (no corrections) = -3.47 eV/atom

=====

- Among the records above, which one has the lowest total DFT energy (no corrections)?
  LiYSc4